Crystalline Na2V3Se6O6 at its relaxed geometry. Source: Alexandria via LeMat-Bulk, functional PBE with a Hubbard U.

Unit cell a=6.1171 b=6.1171 c=11.2851 alpha=94.18 beta=94.18 gamma=120.72
With the nearest neighbours (Å) after each atom.
Element x y z (fractional)
Na  0.2493  0.7507  0.0000  4 O 2.32
Na  0.7507  0.2493  0.0000  4 O 2.32
V  0.0000  0.0000  0.5000  6 Se 2.53-2.57
V  0.3343  0.6657  0.5000  6 Se 2.53-2.58
V  0.6657  0.3343  0.5000  6 Se 2.53-2.58
Se  0.0348  0.7009  0.6390  3 V 2.53-2.58
Se  0.2991  0.9652  0.3610  3 V 2.53-2.58
Se  0.3674  0.3674  0.6391  3 V 2.53-2.57
Se  0.6326  0.6326  0.3609  3 V 2.53-2.57
Se  0.7009  0.0348  0.6390  3 V 2.53-2.58
Se  0.9652  0.2991  0.3610  3 V 2.53-2.58
O  0.1211  0.3357  0.9199  1 O 1.37
O  0.2493  0.2493  0.9874  2 O 1.37
O  0.3357  0.1211  0.9199  1 O 1.37
O  0.6643  0.8789  0.0801  1 O 1.37
O  0.7507  0.7507  0.0126  2 O 1.37
O  0.8789  0.6643  0.0801  1 O 1.37

Calculated values
**Energy**: -4.826 eV/atom
**Magnetization**: 5.64 Bohr magnetons per cell
**Space-group type**: C2/m (12)